No. 1
VASP calculation (PBE) on a relaxed Li4Cd2AgPt crystal.

E: -2.63 eV per atom

The structure in extended XYZ format:
```
8
Lattice="4.516 0.000 0.000 0.000 4.516 0.000 0.000 0.000 6.396" Properties=species:S:1:pos:R:3 pbc="T T T"
Li 0.000 2.258 4.740
Li 0.000 0.000 3.198
Li 2.258 0.000 1.656
Li 2.258 2.258 0.000
Cd 0.000 2.258 1.637
Cd 2.258 0.000 4.759
Ag 0.000 0.000 0.000
Pt 2.258 2.258 3.198
```

No. 2
VASP calculation (PBE) on a relaxed LiScZn2Cd2Ag2 crystal.

E: -2.48 eV per atom

The structure in extended XYZ format:
```
8
Lattice="-0.538 0.432 4.648 4.444 -1.384 0.643 1.995 6.245 -0.350" Properties=species:S:1:pos:R:3 pbc="T T T"
Li 0.000 0.000 0.000
Ag 1.252 4.976 2.057
Ag 2.697 0.794 0.238
Zn 0.205 1.700 2.241
Zn 3.743 4.070 0.055
Cd 0.998 3.123 -0.175
Cd 1.953 -0.476 2.645
Sc 2.951 2.647 2.470
```

No. 3
VASP calculation (PBE) on a relaxed Li4CdSi2Ag crystal.

E: -3.02 eV per atom

The structure in extended XYZ format:
```
8
Lattice="-4.079 0.949 -1.312 0.371 -2.914 -3.261 -2.230 -4.444 3.717" Properties=species:S:1:pos:R:3 pbc="T T T"
Cd -2.969 -3.204 -0.428
Li -0.349 -2.522 -0.739
Li -1.115 -2.222 1.859
Li -3.735 -2.904 2.170
Li -1.854 -0.982 -2.286
Si -1.507 -4.831 1.192
Si -2.576 -0.595 0.239
Ag 0.000 0.000 0.000
```

No. 4
VASP calculation (PBE) on a relaxed LiCdAgSn crystal.

excess energy over the best structure of this formula in the dataset: 0.000 eV/atom
E: -2.59 eV per atom

The structure in extended XYZ format:
```
4
Lattice="0.000 3.410 3.410 3.410 0.000 3.410 3.410 3.410 0.000" Properties=species:S:1:pos:R:3 pbc="T T T"
Sn 0.000 0.000 0.000
Li 5.115 5.115 5.115
Ag 1.705 1.705 1.705
Cd 3.410 3.410 3.410
```

No. 5
VASP calculation (PBE) on a relaxed Li4Tl2CdAg crystal.

E: -2.23 eV per atom

The structure in extended XYZ format:
```
8
Lattice="-1.952 0.806 4.231 2.421 -3.636 1.810 5.044 4.126 1.542" Properties=species:S:1:pos:R:3 pbc="T T T"
Tl 2.423 -0.826 1.275
Tl 2.855 3.537 3.286
Li 5.026 1.303 2.071
Li 2.522 2.063 0.771
Li 0.252 1.408 2.491
Li 0.234 -1.415 3.020
Cd 2.756 0.648 3.791
Ag 0.000 0.000 0.000
```

No. 6
VASP calculation (PBE) on a relaxed MgCd6Ag crystal.

E: -1.28 eV per atom

The structure in extended XYZ format:
```
8
Lattice="6.266 0.000 0.000 -3.133 5.426 0.000 0.000 0.000 4.901" Properties=species:S:1:pos:R:3 pbc="T T T"
Cd 1.547 0.893 2.450
Cd -1.553 2.721 0.000
Cd 4.718 0.893 2.450
Cd 3.133 3.639 2.450
Cd 1.553 2.721 0.000
Cd 0.000 5.411 0.000
Ag 0.000 0.000 0.000
Mg 0.000 3.617 2.450
```

No. 7
VASP calculation (PBE) on a relaxed Mg3CdAg2 crystal.

E: -2.07 eV per atom

The structure in extended XYZ format:
```
6
Lattice="-1.578 -1.619 -2.460 2.933 -0.621 -1.473 0.800 -8.892 5.338" Properties=species:S:1:pos:R:3 pbc="T T T"
Mg 0.678 -1.120 -1.967
Mg 0.930 -3.923 -0.284
Mg 1.225 -7.208 1.689
Ag 0.673 -7.482 4.492
Ag 0.127 -1.410 0.846
Cd 0.400 -4.446 2.669
```

No. 8
VASP calculation (PBE) on a relaxed MgCdAg6 crystal.

E: -2.54 eV per atom

The structure in extended XYZ format:
```
8
Lattice="-0.255 -4.418 3.937 -1.291 -1.025 -5.689 4.636 -1.038 -0.865" Properties=species:S:1:pos:R:3 pbc="T T T"
Ag -1.245 -3.795 -2.117
Ag -1.118 -1.591 -4.081
Ag 1.892 -4.376 1.913
Ag 1.241 -4.893 -0.955
Ag 2.020 -2.149 -0.071
Ag -0.474 -1.080 -1.243
Mg 1.372 -2.675 -2.913
Cd -0.600 -3.287 0.728
```

No. 9
VASP calculation (PBE) on a relaxed Mg3CdAg4 crystal.

E: -2.32 eV per atom

The structure in extended XYZ format:
```
8
Lattice="7.226 -2.331 0.000 7.226 2.331 0.000 -1.505 0.000 4.421" Properties=species:S:1:pos:R:3 pbc="T T T"
Cd 7.226 0.000 0.000
Mg 10.446 0.000 1.099
Mg -0.753 0.000 2.210
Mg 2.500 0.000 3.322
Ag 4.807 0.000 1.641
Ag 11.283 0.000 3.853
Ag 1.664 0.000 0.568
Ag 8.139 0.000 2.780
```

No. 10
VASP calculation (PBE) on a relaxed NdMgCdAg crystal.

E: -2.83 eV per atom

The structure in extended XYZ format:
```
4
Lattice="-0.784 3.603 3.541 -2.803 4.124 -1.126 -4.637 0.582 2.071" Properties=species:S:1:pos:R:3 pbc="T T T"
Ag -2.056 2.077 1.122
Nd -4.112 4.155 2.243
Cd -6.168 6.232 3.365
Mg 0.000 0.000 0.000
```

No. 11
VASP calculation (PBE) on a relaxed Nd3Mg3Cd2Ag crystal.

E: -2.88 eV per atom

The structure in extended XYZ format:
```
9
Lattice="7.546 0.000 0.000 -3.773 6.535 0.000 0.000 0.000 4.797" Properties=species:S:1:pos:R:3 pbc="T T T"
Nd -1.578 2.733 0.000
Nd 2.195 3.802 0.000
Nd 3.156 0.000 0.000
Cd 3.773 2.178 2.398
Cd 0.000 4.357 2.398
Mg -2.894 5.013 2.398
Mg 5.788 0.000 2.398
Mg 0.879 1.522 2.398
Ag 0.000 0.000 0.000
```

No. 12
VASP calculation (PBE) on a relaxed Pr2NdMg3Cd2Ag crystal.

E: -2.88 eV per atom

The structure in extended XYZ format:
```
9
Lattice="4.361 0.000 0.000 0.000 6.904 3.983 0.000 -6.904 3.983" Properties=species:S:1:pos:R:3 pbc="T T T"
Cd 0.000 -2.288 3.978
Cd 0.000 2.288 3.978
Mg 0.000 0.000 6.062
Mg 0.000 -1.645 0.953
Mg 0.000 1.645 0.953
Pr 2.180 -4.089 2.359
Pr 2.180 4.089 2.359
Nd 2.180 0.000 3.246
Ag 2.180 0.000 0.008
```

No. 13
VASP calculation (PBE) on a relaxed PrNd2Mg3Cd2Ag crystal.

E: -2.88 eV per atom

The structure in extended XYZ format:
```
9
Lattice="4.350 0.000 0.000 0.000 6.889 3.980 0.000 -6.889 3.980" Properties=species:S:1:pos:R:3 pbc="T T T"
Nd 0.000 4.082 2.359
Nd 0.000 -4.082 2.359
Ag 0.000 0.000 7.953
Mg 2.175 -5.240 4.929
Mg 2.175 5.240 4.929
Mg 2.175 0.000 6.059
Cd 2.175 2.309 3.985
Cd 2.175 -2.309 3.985
Pr 0.000 0.000 3.245
```

No. 14
VASP calculation (PBE) on a relaxed Nd3MgCd2AgPt2 crystal.

E: -4.33 eV per atom

The structure in extended XYZ format:
```
9
Lattice="-1.983 0.128 3.519 4.322 -5.935 2.651 2.324 7.378 1.042" Properties=species:S:1:pos:R:3 pbc="T T T"
Cd 0.753 5.582 2.543
Cd 2.247 -4.371 3.745
Pt 1.952 2.935 3.314
Pt 2.601 -1.388 3.837
Mg 0.694 0.430 2.696
Nd 3.915 0.850 2.175
Nd 5.270 -2.821 3.072
Nd 4.118 4.860 2.144
Ag 0.076 0.017 0.042
```

No. 15
VASP calculation (PBE) on a relaxed NdTm2Mg3Cd2Ag crystal.

E: -2.80 eV per atom

The structure in extended XYZ format:
```
9
Lattice="-2.878 -2.982 0.936 2.882 -0.514 7.221 -5.732 5.019 -1.632" Properties=species:S:1:pos:R:3 pbc="T T T"
Nd -2.608 0.357 2.761
Mg 1.492 0.701 6.819
Mg -5.029 4.890 0.117
Mg -2.159 3.414 4.235
Cd 0.048 1.311 4.322
Cd -2.907 3.209 1.285
Ag -4.267 2.980 6.015
Tm 0.273 -1.796 4.761
Tm -4.847 1.493 -0.500
```

No. 16
VASP calculation (PBE) on a relaxed NdY2Mg3Cd2Ag crystal.

E: -3.27 eV per atom

The structure in extended XYZ format:
```
9
Lattice="4.252 0.000 0.000 0.000 6.820 3.912 0.000 -6.820 3.912" Properties=species:S:1:pos:R:3 pbc="T T T"
Y 0.000 4.052 2.325
Y 0.000 -4.052 2.325
Ag 0.000 0.000 7.793
Nd 0.000 0.000 3.193
Mg 2.126 5.158 4.851
Mg 2.126 -5.158 4.851
Mg 2.126 0.000 5.933
Cd 2.126 -2.316 3.921
Cd 2.126 2.316 3.921
```

No. 17
VASP calculation (PBE) on a relaxed Pr3Mg3Cd2Ag crystal.

E: -2.88 eV per atom

The structure in extended XYZ format:
```
9
Lattice="-5.166 -1.599 5.765 7.763 -0.256 1.467 -0.071 4.286 1.125" Properties=species:S:1:pos:R:3 pbc="T T T"
Mg 5.887 1.948 1.681
Mg 0.580 1.704 2.277
Mg -3.977 0.923 4.961
Pr 1.531 -1.094 4.265
Pr 3.185 -0.105 0.602
Pr -2.119 -0.656 2.365
Cd 3.418 1.440 3.462
Cd -0.892 0.992 4.895
Ag 0.000 0.000 0.000
```

No. 18
VASP calculation (PBE) on a relaxed PrMgCdAg crystal.

E: -2.83 eV per atom

The structure in extended XYZ format:
```
4
Lattice="-5.064 0.349 0.793 -2.178 4.599 0.710 -3.038 1.992 -3.633" Properties=species:S:1:pos:R:3 pbc="T T T"
Pr -5.140 3.469 -1.065
Cd -2.570 1.735 -0.532
Ag -7.711 5.204 -1.597
Mg 0.000 0.000 0.000
```

No. 19
VASP calculation (PBE) on a relaxed Pr2TmMg3Cd2Ag crystal.

E: -2.84 eV per atom

The structure in extended XYZ format:
```
9
Lattice="-3.052 -1.984 2.332 3.105 -6.978 -1.874 2.479 3.761 6.446" Properties=species:S:1:pos:R:3 pbc="T T T"
Pr 4.568 -4.750 1.937
Pr 4.312 -0.366 5.334
Cd 1.147 -0.871 4.768
Cd 1.347 -4.309 2.105
Mg -0.770 -2.662 0.734
Mg -0.919 -0.108 2.713
Mg 2.714 -3.435 4.638
Ag 0.045 -0.026 0.037
Tm 2.259 -1.301 1.850
```

No. 20
VASP calculation (PBE) on a relaxed PrY2Mg3Cd2Ag crystal.

E: -3.27 eV per atom

The structure in extended XYZ format:
```
9
Lattice="-2.468 3.390 0.825 -5.185 -4.662 3.646 5.896 3.315 4.020" Properties=species:S:1:pos:R:3 pbc="T T T"
Mg -0.694 0.672 6.230
Mg 3.398 3.877 5.304
Mg -4.985 -2.157 5.021
Y 3.503 1.969 2.391
Y -3.081 -2.771 2.168
Cd 1.016 2.382 4.322
Cd -2.771 -0.344 4.194
Pr 0.291 -0.551 3.134
Ag 0.707 -1.340 7.625
```

No. 21
VASP calculation (PBE) on a relaxed MgCdAgPt crystal.

excess energy over the best structure of this formula in the dataset: 0.000 eV/atom
E: -3.23 eV per atom

The structure in extended XYZ format:
```
4
Lattice="-3.992 -1.372 1.935 -3.631 2.892 0.130 -3.714 -0.815 -2.667" Properties=species:S:1:pos:R:3 pbc="T T T"
Cd -2.834 0.176 -0.150
Ag -5.669 0.353 -0.301
Pt 0.000 0.000 0.000
Mg -8.503 0.529 -0.451
```

No. 22
VASP calculation (PBE) on a relaxed MgScCdAg crystal.

excess energy over the best structure of this formula in the dataset: 0.107 eV/atom
E: -3.07 eV per atom

The structure in extended XYZ format:
```
4
Lattice="2.587 -2.818 -2.941 2.953 -3.342 1.842 -1.088 -4.682 -0.430" Properties=species:S:1:pos:R:3 pbc="T T T"
Ag 0.000 0.000 0.000
Sc 2.226 -5.421 -0.765
Cd 1.113 -2.711 -0.382
Mg 3.340 -8.132 -1.147
```

No. 23
VASP calculation (PBE) on a relaxed Mg2Sc2Cd3Ag crystal.

E: -2.93 eV per atom

The structure in extended XYZ format:
```
8
Lattice="-1.985 4.409 -0.723 -2.644 -0.521 4.080 5.056 2.874 3.644" Properties=species:S:1:pos:R:3 pbc="T T T"
Mg 2.507 1.916 4.799
Mg 0.234 2.902 0.523
Cd 0.213 3.381 3.500
Cd -2.315 1.944 1.678
Cd 2.528 1.437 1.822
Sc 2.827 4.376 2.391
Sc -0.085 0.442 2.931
Ag 0.000 0.000 0.000
```

No. 24
VASP calculation (PBE) on a relaxed Mg2Sc2CdAg3 crystal.

E: -3.43 eV per atom

The structure in extended XYZ format:
```
8
Lattice="4.801 0.000 0.000 0.000 4.801 0.000 0.000 0.000 6.844" Properties=species:S:1:pos:R:3 pbc="T T T"
Ag 2.400 2.400 3.422
Ag 0.000 0.000 3.422
Ag 0.000 0.000 0.000
Sc 0.000 2.400 5.083
Sc 2.400 0.000 1.761
Mg 2.400 0.000 5.099
Mg 0.000 2.400 1.745
Cd 2.400 2.400 0.000
```

No. 25
VASP calculation (PBE) on a relaxed MgScCdAg crystal.

excess energy over the best structure of this formula in the dataset: 0.086 eV/atom
E: -3.09 eV per atom

The structure in extended XYZ format:
```
4
Lattice="0.000 3.410 3.410 3.410 0.000 3.410 3.410 3.410 0.000" Properties=species:S:1:pos:R:3 pbc="T T T"
Cd 3.410 3.410 3.410
Sc 0.000 0.000 0.000
Mg 5.115 5.115 5.115
Ag 1.705 1.705 1.705
```

No. 26
VASP calculation (PBE) on a relaxed MgScCdAg crystal.

excess energy over the best structure of this formula in the dataset: 0.000 eV/atom
E: -3.18 eV per atom

The structure in extended XYZ format:
```
4
Lattice="0.000 3.427 3.427 3.427 0.000 3.427 3.427 3.427 0.000" Properties=species:S:1:pos:R:3 pbc="T T T"
Mg 5.141 5.141 5.141
Cd 3.427 3.427 3.427
Ag 0.000 0.000 0.000
Sc 1.714 1.714 1.714
```